The following is a PBE-GGA calculation of a relaxed PmPrHoEr crystal, from Alexandria.

CIF file:
```
data_PmPrHoEr
_chemical_formula_sum 'Pm1 Pr1 Ho1 Er1'
_cell_length_a 3.7716
_cell_length_b 5.9044
_cell_length_c 6.8950
_cell_angle_alpha 115.35
_cell_angle_beta 74.67
_cell_angle_gamma 90.00
_symmetry_space_group_name_H-M 'P 1'
_symmetry_Int_Tables_number 1
loop_
_symmetry_equiv_pos_as_xyz
'x,y,z'
loop_
_atom_site_label
_atom_site_type_symbol
_atom_site_fract_x
_atom_site_fract_y
_atom_site_fract_z
_atom_site_occupancy
Pm1 Pm 0.8834 0.6516 0.3031 1
Pr1 Pr 0.7108 0.3845 0.7690 1
Ho1 Ho 0.4174 0.1326 0.2652 1
Er1 Er 0.1744 0.8960 0.7920 1
```

Values from the calculation:
ΔE_f: 0.108 eV per atom
volume: 132.7 Å³/cell
SG: Cm, No. 8